DFT (PBE) results for a relaxed Th2MgZr crystal.

Values from the calculation:
- spin magnetization (μB/f.u.) = 0.0
- DOS at the Fermi energy (states/eV/f.u.) = 4.92
- energy relative to the elements (eV/atom) = 0.091
- energy above the most stable polymorph in this dataset (kJ per mole of atoms) = 0.00

abc: 4.822 4.822 4.776
angles: 90.00 90.00 90.00
Space group P4/mmm (No. 123)
One atom of each set of equivalent atoms:
Th (0.000, 0.500, 0.000)
Mg (0.000, 0.000, 0.500)
Zr (0.500, 0.500, 0.500)

DFT (PBE) results for a relaxed ThMg2Zr4 crystal.

Values from the calculation:
- spin magnetization (μB/f.u.) = 0.0
- DOS at the Fermi energy (states/eV/f.u.) = 8.63
- energy relative to the elements (eV/atom) = 0.066

abc: 5.316 19.940 3.246
angles: 90.00 90.00 90.00
Space group Cmmm (No. 65)
One atom of each set of equivalent atoms:
Th (0.000, 0.000, 0.000)
Mg (0.000, 0.426, 0.500)
Zr (0.000, 0.161, 0.500)
Zr (0.000, 0.295, 0.000)

DFT (PBE) results for a relaxed Th2MgZr crystal.

Values from the calculation:
- spin magnetization (μB/f.u.) = 0.0
- DOS at the Fermi energy (states/eV/f.u.) = 5.49
- energy relative to the elements (eV/atom) = 0.138
- energy above the most stable polymorph in this dataset (kJ per mole of atoms) = 4.53

abc: 3.3500 3.3500 34.7655
angles: 90.00 90.00 120.00
Space group R3m (No. 160, hexagonal axes)
One atom of each set of equivalent atoms:
Th (0.0000, 0.0000, 0.0000)
Th (0.0000, 0.0000, 0.1705)
Mg (0.0000, 0.0000, 0.4190)
Zr (0.0000, 0.0000, 0.5850)

DFT (PBE) results for a relaxed ThMg4Zr crystal.

Values from the calculation:
- spin magnetization (μB/f.u.) = 2.2
- DOS at the Fermi energy (states/eV/f.u.) = 6.26
- energy relative to the elements (eV/atom) = 0.076

abc: 8.356 8.356 8.356
angles: 90.00 90.00 90.00
Space group F-43m (No. 216)
One atom of each set of equivalent atoms:
Th (0.000, 0.000, 0.000)
Mg (0.124, 0.124, 0.624)
Zr (0.250, 0.250, 0.250)

DFT (PBE) results for a relaxed ThMgZr crystal.

Values from the calculation:
- spin magnetization (μB/f.u.) = 0.0
- DOS at the Fermi energy (states/eV/f.u.) = 2.65
- energy relative to the elements (eV/atom) = 0.066
- energy above the most stable polymorph in this dataset (kJ per mole of atoms) = 0.00

abc: 3.264 3.264 14.828
angles: 90.00 90.00 90.00
Space group I4mm (No. 107)
One atom of each set of equivalent atoms:
Th (0.000, 0.000, 0.000)
Mg (0.000, 0.000, 0.319)
Zr (0.000, 0.000, 0.667)

DFT (PBE) results for a relaxed ThMgZr2 crystal.

Values from the calculation:
- spin magnetization (μB/f.u.) = 0.0
- DOS at the Fermi energy (states/eV/f.u.) = 4.53
- energy relative to the elements (eV/atom) = 0.118
- energy above the most stable polymorph in this dataset (kJ per mole of atoms) = 5.52

abc: 3.701 3.701 7.175
angles: 90.00 90.00 90.00
Space group P4/mmm (No. 123)
One atom of each set of equivalent atoms:
Th (0.000, 0.000, 0.000)
Mg (0.000, 0.000, 0.500)
Zr (0.500, 0.500, 0.255)

Question: Which value of DOS at the Fermi energy does entry 5 give?
Answer: 2.65 states/eV/f.u.

Question: Among the records above, which one has the highest DOS at the Fermi energy?
Answer: ThMg2Zr4

Question: spin magnetization of number 4 (ThMg4Zr)?
Answer: 2.2 μB/f.u.

Question: The highest energy relative to the elements belongs to which entry?
Answer: number 3